1.
# CdSn2PbCl8 (GGA-PBE, relaxed)
data_CdSn2PbCl8
_space_group_name_H-M_alt 'P -1'
_space_group_IT_number 2
_space_group_name_Hall '-P 1'
_cell_length_a 6.424
_cell_length_b 6.735
_cell_length_c 8.617
_cell_angle_alpha 89.61
_cell_angle_beta 89.99
_cell_angle_gamma 89.32
loop_
_atom_site_label
_atom_site_fract_x
_atom_site_fract_y
_atom_site_fract_z
Cd1 0.000 0.000 0.000
Sn1 0.497 0.490 0.760
Pb1 0.000 0.000 0.500
Cl1 0.206 0.821 0.771
Cl2 0.239 0.857 0.231
Cl3 0.257 0.319 0.977
Cl4 0.273 0.339 0.524
# - Mass density: 3745 kg/m3
# - Calculated total energy: -3.326 eV/atom
# - Magnetic moment: 0.0 μB/f.u.
# - Formation energy from raw total energies: -1.0425 eV/atom



2.
# KN2OF (GGA-PBE, relaxed)
data_KN2OF
_space_group_name_H-M_alt 'P 4/m m m'
_space_group_IT_number 123
_space_group_name_Hall '-P 4 2'
_cell_length_a 3.556
_cell_length_b 3.556
_cell_length_c 6.626
_cell_angle_alpha 90.00
_cell_angle_beta 90.00
_cell_angle_gamma 90.00
loop_
_atom_site_label
_atom_site_fract_x
_atom_site_fract_y
_atom_site_fract_z
K1 0.000 0.000 0.000
N1 0.000 0.500 0.500
O1 0.500 0.500 0.500
F1 0.500 0.500 0.000
# - Mass density: 2023 kg/m3
# - Calculated total energy: -3.879 eV/atom
# - Magnetic moment: 3.4 μB/f.u.
# - Formation energy from raw total energies: 1.0367 eV/atom